Record 1
Density functional theory data (PBE-GGA) for a relaxed structure of Pm4PrSe6.

a b c (Å): 7.1968 7.1968 21.2869
angles (deg): 90.00 90.00 146.69
Sites, in units of the cell vectors:
Pm (0.0894, 0.9106, 0.6272)
Pm (0.0894, 0.9106, 0.8728)
Pm (0.3594, 0.6406, 0.5388)
Pm (0.3594, 0.6406, 0.9612)
Pm (0.6406, 0.3594, 0.0388)
Pm (0.6406, 0.3594, 0.4612)
Pm (0.9106, 0.0894, 0.1272)
Pm (0.9106, 0.0894, 0.3728)
Pr (0.1553, 0.8447, 0.2500)
Pr (0.8447, 0.1553, 0.7500)
Se (0.0000, 0.0000, 0.0000)
Se (0.0000, 0.0000, 0.5000)
Se (0.1877, 0.8123, 0.7500)
Se (0.2687, 0.7313, 0.0915)
Se (0.2687, 0.7313, 0.4085)
Se (0.4478, 0.5522, 0.6669)
Se (0.4478, 0.5522, 0.8331)
Se (0.5522, 0.4478, 0.1669)
Se (0.5522, 0.4478, 0.3331)
Se (0.7313, 0.2687, 0.5915)
Se (0.7313, 0.2687, 0.9085)
Se (0.8123, 0.1877, 0.2500)

Values from the calculation:
ΔE_f (raw) ... -1.8681 eV per atom
SG ... No. 63
Crystal system ... orthorhombic
D(E_F) ... 0.273 states/eV per atom
V ... 605 Å³ per cell

=====

Record 2
Density functional theory data (PBE-GGA) for a relaxed structure of Pm4PrSe5.

a b c (Å): 11.1580 11.1580 11.1580
angles (deg): 158.25 149.10 38.11
Sites, in units of the cell vectors:
Pm (0.0998, 0.0998, 0.0000)
Pm (0.2991, 0.2991, 0.0000)
Pm (0.7009, 0.7009, 0.0000)
Pm (0.9002, 0.9002, 0.0000)
Pr (0.5000, 0.5000, 0.0000)
Se (0.0000, 0.5000, 0.5000)
Se (0.1996, 0.6996, 0.5000)
Se (0.3979, 0.8979, 0.5000)
Se (0.6021, 0.1021, 0.5000)
Se (0.8004, 0.3004, 0.5000)

Values from the calculation:
Energy above the most stable polymorph in this dataset ... 3 meV per atom
ΔE_f (raw) ... -1.8325 eV per atom
SG ... No. 71
Crystal system ... orthorhombic
D(E_F) ... 0.500 states/eV per atom
V ... 264 Å³ per cell